(1)
# PBE Sm4SnI, optimized geometry
# density of states at the Fermi level	1.158	states/eV per atom
# uncorrected formation energy	-0.338	eV per atom
data_Sm4SnI
_symmetry_space_group_name_H-M 'P -1'
_symmetry_Int_Tables_number 2
_symmetry_space_group_name_Hall '-P 1'
_cell_length_a 6.588
_cell_length_b 7.582
_cell_length_c 9.295
_cell_angle_alpha 71.79
_cell_angle_beta 70.92
_cell_angle_gamma 82.06
loop_
_atom_site_label
_atom_site_fract_x
_atom_site_fract_y
_atom_site_fract_z
Sm1 0.045 0.099 0.267
Sm2 0.208 0.656 0.211
Sm3 0.308 0.582 0.628
Sm4 0.455 0.026 0.685
Sn1 0.183 0.282 0.478
I1 0.000 0.500 0.000
I2 0.500 0.000 0.000

=====

(2)
# PBE Cs2LaAu2, optimized geometry
# ΔE_f	-130	meV/atom
# density of states at the Fermi level	1.114	states/eV per atom
data_Cs2LaAu2
_symmetry_space_group_name_H-M 'P 4/m b m'
_symmetry_Int_Tables_number 127
_symmetry_space_group_name_Hall '-P 4 2ab'
_cell_length_a 7.970
_cell_length_b 7.970
_cell_length_c 6.148
_cell_angle_alpha 90.00
_cell_angle_beta 90.00
_cell_angle_gamma 90.00
loop_
_atom_site_label
_atom_site_fract_x
_atom_site_fract_y
_atom_site_fract_z
Cs1 0.169 0.331 0.000
La1 0.000 0.000 0.500
Au1 0.128 0.628 0.500

=====

(3)
# PBE Sm2MgZn2Rh5, optimized geometry
# ΔE_f	-540	meV/atom
# density of states at the Fermi level	0.484	states/eV per atom
data_Sm2MgZn2Rh5
_symmetry_space_group_name_H-M 'P 4/m b m'
_symmetry_Int_Tables_number 127
_symmetry_space_group_name_Hall '-P 4 2ab'
_cell_length_a 9.732
_cell_length_b 9.732
_cell_length_c 3.682
_cell_angle_alpha 90.00
_cell_angle_beta 90.00
_cell_angle_gamma 90.00
loop_
_atom_site_label
_atom_site_fract_x
_atom_site_fract_y
_atom_site_fract_z
Sm1 0.175 0.325 0.000
Mg1 0.000 0.000 0.000
Zn1 0.123 0.623 0.000
Rh1 0.000 0.500 0.500
Rh2 0.068 0.796 0.500

=====

(4)
# PBE CaPm12Ho2, optimized geometry
# ΔE_f	110	meV/atom
# density of states at the Fermi level	1.424	states/eV per atom
data_CaPm12Ho2
_symmetry_space_group_name_H-M 'C 1 2/m 1'
_symmetry_Int_Tables_number 12
_symmetry_space_group_name_Hall '-C 2y'
_cell_length_a 7.243
_cell_length_b 11.529
_cell_length_c 25.097
_cell_angle_alpha 90.00
_cell_angle_beta 94.48
_cell_angle_gamma 90.00
loop_
_atom_site_label
_atom_site_fract_x
_atom_site_fract_y
_atom_site_fract_z
Ca1 0.249 0.000 0.498
Pm1 0.015 0.250 0.580
Pm2 0.112 0.242 0.945
Pm3 0.136 0.500 0.079
Pm4 0.152 0.000 0.072
Pm5 0.168 0.246 0.170
Pm6 0.201 0.254 0.296
Pm7 0.216 0.000 0.355
Pm8 0.218 0.500 0.359
Ho1 0.064 0.500 0.774
Ho2 0.072 0.000 0.776